Entry from Alexandria via LeMat-Bulk: a relaxed TaTePt2 crystal (PBE-GGA).

Cell lengths 3.4668, 4.5220, 4.5510 Å; angles 90.00, 90.00, 90.00 degrees
Space group Pmmm (No. 47)
Symmetry-distinct sites (fractional):
1 Ta 0.0000 0.0000 0.0000
2 Te 0.5000 0.5000 0.0000
3 Pt 0.0000 0.5000 0.5000
4 Pt 0.5000 0.0000 0.5000

Summary:
**N(E_F)**: 0.4930 states/eV per atom
**Uncorrected formation energy**: -0.045 eV/atom
**ρ**: 16.26 Mg/m³